# 1
VASP calculation (GGA+U) on a relaxed structure of PmZrV2O8.

Symmetry: I-4m2
Total moment, μB per formula unit: 1.00

```
12
Lattice="5.9899 0.0077 0.0000 -2.6498 5.3720 0.0000 -1.6701 -2.6898 5.0848" Properties=species:S:1:pos:R:3 pbc="T T T"
Zr 0.0000 0.0000 0.0000
Pm -1.3249 2.6860 2.5424
O 0.2216 2.0437 0.8897
O 0.0633 -1.5847 4.1950
O 3.2507 -1.4178 3.5095
O 1.6074 -0.3975 1.5752
O -0.0633 1.5847 4.1950
O 2.7392 1.4255 3.5095
O 4.3825 0.4051 1.5752
O 3.1185 3.3359 0.8897
V 1.6701 2.6898 0.0000
V 2.9950 0.0038 2.5424
```

# 2
VASP calculation (GGA+U) on a relaxed structure of Pm2ZrVO6.

D(E_F), states/eV per cell: 0.0
Symmetry: P2_1/c
Total moment, μB per formula unit: 3.00

```
20
Lattice="5.6012 0.0000 0.0381 0.0000 5.8960 0.0000 0.1022 0.0000 8.1018" Properties=species:S:1:pos:R:3 pbc="T T T"
O 4.6324 4.6967 7.5856
O 3.5199 0.3072 2.0764
O 3.9929 1.8175 7.6551
O 3.9226 1.7487 4.6242
O 1.0710 1.1993 0.5542
O 4.9329 3.2553 2.0316
O 2.1834 5.5888 6.0635
O 1.7807 4.1473 3.5157
O 1.7104 4.0786 0.4848
O 1.1412 1.1306 3.5851
O 0.7704 2.6408 6.1082
O 4.5621 4.7655 4.5547
V 2.8006 0.0000 0.0190
V 0.0511 2.9480 4.0509
Zr 0.0000 2.9480 0.0000
Zr 2.8517 0.0000 4.0699
Pm 2.7143 2.5834 2.0193
Pm 2.9891 3.3126 6.1205
Pm 5.5660 0.3646 6.0892
Pm 0.1374 5.5315 2.0506
```

# 3
VASP calculation (GGA+U) on a relaxed structure of Pm4WO10.

D(E_F), states/eV per cell: 9.9
Symmetry: I4/m
Total moment, μB per formula unit: 1.95

```
15
Lattice="-1.3593 -4.7784 -2.3510 4.6140 -2.4259 -4.1616 1.9008 -5.3921 3.4359" Properties=species:S:1:pos:R:3 pbc="T T T"
O 0.8362 -1.8684 0.4758
O 0.0774 -4.5358 -0.8366
O 3.1008 -3.7214 -3.4919
O 2.3420 -6.3888 -4.8043
O 2.9176 -5.1036 -0.9506
O 2.0546 -8.8750 0.4151
O 2.2379 -7.4928 -2.1262
O 4.3193 -10.7280 -3.5526
O 2.8134 -6.2076 1.7275
O 5.0781 -8.0606 -2.2402
Pm 1.2710 -6.5819 -0.2063
Pm 1.9779 -3.0206 -1.4288
Pm 3.1776 -9.5758 -1.6480
Pm 3.8845 -6.0145 -2.8705
W 0.0000 0.0000 0.0000
```

E, respectively: -8.2570; -8.5862; -7.7172 eV/atom.